# PBE AgPbCl2, relaxed
data_AgPbCl2
_chemical_formula_sum 'Ag4 Pb4 Cl8'
_space_group_name_H-M_alt 'F m -3 m'
_space_group_IT_number 225
_space_group_name_Hall '-F 4 2 3'
_cell_length_a 7.286
_cell_length_b 7.286
_cell_length_c 7.286
_cell_angle_alpha 90.00
_cell_angle_beta 90.00
_cell_angle_gamma 90.00
loop_
_atom_site_label
_atom_site_fract_x
_atom_site_fract_y
_atom_site_fract_z
Ag1 0.000 0.000 0.000
Pb1 0.000 0.000 0.500
Cl1 0.250 0.250 0.250
# Formation energy (no corrections) (kJ/mol of formula units): -150
# Distance to the lowest polymorph of the same formula (eV/atom): 0.1095

---

# PBE Na3PdO, relaxed
data_Na3PdO
_chemical_formula_sum 'Na3 Pd1 O1'
_space_group_name_H-M_alt 'P m -3 m'
_space_group_IT_number 221
_space_group_name_Hall '-P 4 2 3'
_cell_length_a 5.297
_cell_length_b 5.297
_cell_length_c 5.297
_cell_angle_alpha 90.00
_cell_angle_beta 90.00
_cell_angle_gamma 90.00
loop_
_atom_site_label
_atom_site_fract_x
_atom_site_fract_y
_atom_site_fract_z
Na1 0.000 0.000 0.500
Pd1 0.000 0.000 0.000
O1 0.500 0.500 0.500
# Formation energy (no corrections) (kJ/mol of formula units): 154
# Distance to the lowest polymorph of the same formula (eV/atom): 0.8638

---

# PBE Pa3Tc2Sb3, relaxed
data_Pa3Tc2Sb3
_chemical_formula_sum 'Pa12 Tc8 Sb12'
_space_group_name_H-M_alt 'C m c m'
_space_group_IT_number 63
_space_group_name_Hall '-C 2c 2'
_cell_length_a 4.573
_cell_length_b 10.822
_cell_length_c 14.729
_cell_angle_alpha 90.00
_cell_angle_beta 90.00
_cell_angle_gamma 90.00
loop_
_atom_site_label
_atom_site_fract_x
_atom_site_fract_y
_atom_site_fract_z
Pa1 0.000 0.059 0.106
Pa2 0.000 0.312 0.250
Tc1 0.000 0.217 0.624
Sb1 0.000 0.357 0.037
Sb2 0.000 0.403 0.750
# Formation energy (no corrections) (kJ/mol of formula units): -271

---

# PBE ThGaPt4, relaxed
data_ThGaPt4
_chemical_formula_sum 'Th4 Ga4 Pt16'
_space_group_name_H-M_alt 'C m c m'
_space_group_IT_number 63
_space_group_name_Hall '-C 2c 2'
_cell_length_a 4.031
_cell_length_b 15.984
_cell_length_c 6.819
_cell_angle_alpha 90.00
_cell_angle_beta 90.00
_cell_angle_gamma 90.00
loop_
_atom_site_label
_atom_site_fract_x
_atom_site_fract_y
_atom_site_fract_z
Th1 0.000 0.104 0.250
Ga1 0.000 0.235 0.750
Pt1 0.000 0.075 0.750
Pt2 0.000 0.325 0.044
Pt3 0.000 0.500 0.000
# Distance to the lowest polymorph of the same formula (eV/atom): 0.0000
# Energy of formation from the pure elements (kcal/mol of atoms): -20.7

---

# PBE Eu3CdC, relaxed
data_Eu3CdC
_chemical_formula_sum 'Eu3 Cd1 C1'
_space_group_name_H-M_alt 'P m -3 m'
_space_group_IT_number 221
_space_group_name_Hall '-P 4 2 3'
_cell_length_a 5.208
_cell_length_b 5.208
_cell_length_c 5.208
_cell_angle_alpha 90.00
_cell_angle_beta 90.00
_cell_angle_gamma 90.00
loop_
_atom_site_label
_atom_site_fract_x
_atom_site_fract_y
_atom_site_fract_z
Eu1 0.000 0.000 0.500
Cd1 0.500 0.500 0.500
C1 0.000 0.000 0.000
# Energy of formation from the pure elements (kcal/mol of atoms): 1.1

---

# PBE TaSi2Te, relaxed
data_TaSi2Te
_chemical_formula_sum 'Ta1 Si2 Te1'
_space_group_name_H-M_alt 'P 1 2/m 1'
_space_group_IT_number 10
_cell_length_a 4.643
_cell_length_b 3.369
_cell_length_c 4.778
_cell_angle_alpha 90.00
_cell_angle_beta 105.11
_cell_angle_gamma 90.00
loop_
_space_group_symop_operation_xyz
'x,y,z'
'-x,-y,-z'
'-x,y,-z'
'x,-y,z'
loop_
_atom_site_label
_atom_site_fract_x
_atom_site_fract_y
_atom_site_fract_z
Ta1 0.000 0.000 0.000
Si1 0.500 0.000 0.500
Si2 0.500 0.500 0.000
Te1 0.000 0.500 0.500
# Formation energy (no corrections) (kJ/mol of formula units): 183

---

# PBE RbMn2SnCl8, relaxed
data_RbMn2SnCl8
_chemical_formula_sum 'Rb1 Mn2 Sn1 Cl8'
_space_group_name_H-M_alt 'P -3'
_space_group_IT_number 147
_cell_length_a 6.6676
_cell_length_b 6.6676
_cell_length_c 9.6916
_cell_angle_alpha 90.00
_cell_angle_beta 90.00
_cell_angle_gamma 120.00
loop_
_space_group_symop_operation_xyz
'x,y,z'
'-x,-y,-z'
'-y,x-y,z'
'y,-x+y,-z'
'-x+y,-x,z'
'x-y,x,-z'
loop_
_atom_site_label
_atom_site_fract_x
_atom_site_fract_y
_atom_site_fract_z
Rb1 0.0000 0.0000 0.0000
Mn1 0.3333 0.6667 0.7448
Sn1 0.0000 0.0000 0.5000
Cl1 0.0073 0.3249 0.6717
Cl2 0.3333 0.6667 0.9768
# Formation energy (no corrections) (kJ/mol of formula units): -1347

---

# PBE Pm3Hg4Pb, relaxed
data_Pm3Hg4Pb
_chemical_formula_sum 'Pm9 Hg12 Pb3'
_space_group_name_H-M_alt 'R -3 m'
_space_group_IT_number 166
_space_group_name_Hall '-R 3 2"'
_cell_length_a 5.3177
_cell_length_b 5.3177
_cell_length_c 26.9188
_cell_angle_alpha 90.00
_cell_angle_beta 90.00
_cell_angle_gamma 120.00
loop_
_atom_site_label
_atom_site_fract_x
_atom_site_fract_y
_atom_site_fract_z
Pm1 0.0000 0.0000 0.0000
Pm2 0.0000 0.0000 0.2421
Hg1 0.0000 0.0000 0.1191
Hg2 0.0000 0.0000 0.3687
Pb1 0.0000 0.0000 0.5000
# Energy of formation from the pure elements (kcal/mol of atoms): -9.7

---

# PBE Ta5Mo3, relaxed
data_Ta5Mo3
_chemical_formula_sum 'Ta5 Mo3'
_space_group_name_H-M_alt 'P 4/m m m'
_space_group_IT_number 123
_space_group_name_Hall '-P 4 2'
_cell_length_a 3.245
_cell_length_b 3.245
_cell_length_c 13.069
_cell_angle_alpha 90.00
_cell_angle_beta 90.00
_cell_angle_gamma 90.00
loop_
_atom_site_label
_atom_site_fract_x
_atom_site_fract_y
_atom_site_fract_z
Ta1 0.000 0.000 0.000
Ta2 0.500 0.500 0.133
Ta3 0.500 0.500 0.377
Mo1 0.000 0.000 0.252
Mo2 0.000 0.000 0.500
# Distance to the lowest polymorph of the same formula (eV/atom): 0.0149
# Energy of formation from the pure elements (kcal/mol of atoms): -3.6

---

# PBE Hg2Se, relaxed
data_Hg2Se
_chemical_formula_sum 'Hg6 Se3'
_space_group_name_H-M_alt 'P -3 1 m'
_space_group_IT_number 162
_space_group_name_Hall '-P 3 2'
_cell_length_a 7.3252
_cell_length_b 7.3252
_cell_length_c 5.6390
_cell_angle_alpha 90.00
_cell_angle_beta 90.00
_cell_angle_gamma 120.00
loop_
_atom_site_label
_atom_site_fract_x
_atom_site_fract_y
_atom_site_fract_z
Hg1 0.0000 0.3682 0.1931
Se1 0.0000 0.0000 0.0000
Se2 0.3333 0.6667 0.5000
# Formation energy (no corrections) (kJ/mol of formula units): 1
# Distance to the lowest polymorph of the same formula (eV/atom): 0.0960

---

# PBE Mg2TlNi, relaxed
data_Mg2TlNi
_chemical_formula_sum 'Mg2 Tl1 Ni1'
_space_group_name_H-M_alt 'P 1 m 1'
_space_group_IT_number 6
_cell_length_a 3.238
_cell_length_b 4.177
_cell_length_c 5.998
_cell_angle_alpha 90.00
_cell_angle_beta 105.53
_cell_angle_gamma 90.00
loop_
_space_group_symop_operation_xyz
'x,y,z'
'x,-y,z'
loop_
_atom_site_label
_atom_site_fract_x
_atom_site_fract_y
_atom_site_fract_z
Mg1 0.000 0.000 0.000
Mg2 0.346 0.500 0.694
Tl1 0.719 0.000 0.442
Ni1 0.575 0.500 0.148
# Energy of formation from the pure elements (kcal/mol of atoms): 0.7

---

# PBE In2AgPbSe, relaxed
data_In2AgPbSe
_chemical_formula_sum 'In2 Ag1 Pb1 Se1'
_space_group_name_H-M_alt 'P 4/m m m'
_space_group_IT_number 123
_space_group_name_Hall '-P 4 2'
_cell_length_a 5.885
_cell_length_b 5.885
_cell_length_c 5.496
_cell_angle_alpha 90.00
_cell_angle_beta 90.00
_cell_angle_gamma 90.00
loop_
_atom_site_label
_atom_site_fract_x
_atom_site_fract_y
_atom_site_fract_z
In1 0.000 0.500 0.000
Ag1 0.000 0.000 0.500
Pb1 0.500 0.500 0.000
Se1 0.500 0.500 0.500
# Formation energy (no corrections) (kJ/mol of formula units): 271